Entry 1:
This record from Alexandria describes an optimized crystal structure of KCd3Hg. The functional is PBE.

ΔE_f, meV/atom: -23
Crystal system: hexagonal
Relative energy among the computed polymorphs, eV/atom: 0.090
Magnetic moment, μB/f.u.: 0.000
Total energy, Ha/atom: -0.03132

```
KCd3Hg
1.0
7.236 0.000 0.000
-3.618 6.266 0.000
0.000 0.000 6.824
K Cd Hg
2 6 2
direct
0.333 0.667 0.250
0.667 0.333 0.750
0.195 0.390 0.750
0.195 0.805 0.750
0.390 0.195 0.250
0.610 0.805 0.750
0.805 0.195 0.250
0.805 0.610 0.250
0.000 0.000 0.000
0.000 0.000 0.500
```

Entry 2:
This record from Alexandria describes an optimized crystal structure of Ca2TbSi3Au12. The functional is PBE.

ΔE_f (raw), eV per atom: -0.1985
Crystal system: trigonal
Magnetic moment, μB/f.u.: 0.000
Total energy, Ha/atom: -0.13843

```
Ca2TbSi3Au12
1.0
4.472 2.582 5.916
-4.472 2.582 5.916
0.000 -5.164 5.916
Ca Tb Si Au
2 1 3 12
direct
0.094 0.094 0.094
0.906 0.906 0.906
0.500 0.500 0.500
0.000 0.500 0.500
0.500 0.000 0.500
0.500 0.500 0.000
0.102 0.656 0.656
0.197 0.197 0.650
0.197 0.650 0.197
0.344 0.344 0.898
0.344 0.898 0.344
0.350 0.803 0.803
0.650 0.197 0.197
0.656 0.102 0.656
0.656 0.656 0.102
0.803 0.350 0.803
0.803 0.803 0.350
0.898 0.344 0.344
```

Entry 3:
This record from Alexandria describes an optimized crystal structure of Rb2LiU3Se8. The functional is PBE.

ΔE_f (raw), eV per atom: -1.2075
Crystal system: trigonal
Magnetic moment, μB/f.u.: 5.000
Total energy, Ha/atom: -0.21655

```
Rb2LiU3Se8
1.0
4.152 2.397 8.529
-4.152 2.397 8.529
0.000 -4.794 8.529
Rb Li U Se
2 1 3 8
direct
0.000 0.000 0.000
0.354 0.354 0.354
0.509 0.509 0.509
0.504 0.998 0.998
0.998 0.504 0.998
0.998 0.998 0.504
0.213 0.733 0.733
0.225 0.225 0.225
0.268 0.268 0.788
0.268 0.788 0.268
0.733 0.213 0.733
0.733 0.733 0.213
0.772 0.772 0.772
0.788 0.268 0.268
```

Entry 4:
This record from Alexandria describes an optimized crystal structure of BaSr2Fe. The functional is PBE.

ΔE_f, meV/atom: 646
Crystal system: cubic
Relative energy among the computed polymorphs, eV/atom: 0.219
Magnetic moment, μB/f.u.: 3.147
Total energy, Ha/atom: -0.10258

```
BaSr2Fe
1.0
0.000 4.319 4.319
4.319 0.000 4.319
4.319 4.319 0.000
Ba Sr Fe
1 2 1
direct
0.000 0.000 0.000
0.500 0.500 0.500
0.750 0.750 0.750
0.250 0.250 0.250
```

Entry 5:
This record from Alexandria describes an optimized crystal structure of BeGeIO2. The functional is PBE.

ΔE_f (raw), eV per atom: -0.0455
Crystal system: tetragonal
Relative energy among the computed polymorphs, eV/atom: 0.169
Magnetic moment, μB/f.u.: 0.000
Total energy, Ha/atom: -0.14727

```
BeGeIO2
1.0
3.838 0.000 0.000
0.000 3.838 0.000
0.000 0.000 5.102
Be Ge I O
1 1 1 2
direct
0.000 0.000 0.000
0.500 0.500 0.500
0.000 0.000 0.500
0.000 0.500 0.000
0.500 0.000 0.000
```

Entry 6:
This record from Alexandria describes an optimized crystal structure of ScBr2F. The functional is PBE.

ΔE_f (raw), eV per atom: -0.5581
Crystal system: trigonal
Relative energy among the computed polymorphs, eV/atom: 1.902
Magnetic moment, μB/f.u.: 0.333
Total energy, Ha/atom: -0.12661

```
ScBr2F
1.0
2.260 1.305 7.692
-2.260 1.305 7.692
0.000 -2.609 7.692
Sc Br F
1 2 1
direct
0.000 0.000 0.000
0.103 0.103 0.103
0.897 0.897 0.897
0.500 0.500 0.500
```